1.
Here is Mg2ZnB2Ir5 after structural relaxation from Alexandria via LeMat-Bulk. Energies are from GGA-PBE. Values from VASP.

Structure (Quantum ESPRESSO input):
```
&SYSTEM
  ibrav = 0, nat = 20, ntyp = 4
/
ATOMIC_SPECIES
Ir 192.22 Ir.upf
B 10.81 B.upf
Mg 24.30 Mg.upf
Zn 65.41 Zn.upf
CELL_PARAMETERS angstrom
9.487 0.000 0.000
0.000 9.487 0.000
0.000 0.000 2.944
ATOMIC_POSITIONS crystal
Ir 0.500 0.000 0.500
Ir 0.570 0.717 0.500
Ir 0.430 0.283 0.500
B 0.373 0.127 0.000
Mg 0.823 0.677 0.000
Zn 0.000 0.000 0.000
B 0.127 0.627 0.000
Ir 0.000 0.500 0.500
Ir 0.717 0.430 0.500
B 0.873 0.373 0.000
Ir 0.217 0.070 0.500
Ir 0.930 0.217 0.500
Ir 0.070 0.783 0.500
Mg 0.323 0.823 0.000
Ir 0.283 0.570 0.500
Mg 0.677 0.177 0.000
B 0.627 0.873 0.000
Ir 0.783 0.930 0.500
Zn 0.500 0.500 0.000
Mg 0.177 0.323 0.000
```

## Properties
- DFT total energy: -6.657 eV per atom
- DOS at the Fermi energy: 0.38 states/eV/atom

2.
Here is Mg2ZrBIr after structural relaxation from Alexandria via LeMat-Bulk. Energies are from GGA-PBE. Values from VASP.

Structure (Quantum ESPRESSO input):
```
&SYSTEM
  ibrav = 0, nat = 5, ntyp = 4
/
ATOMIC_SPECIES
Ir 192.22 Ir.upf
Zr 91.22 Zr.upf
Mg 24.30 Mg.upf
B 10.81 B.upf
CELL_PARAMETERS angstrom
-1.884 2.854 3.460
-3.026 -3.687 1.394
3.368 -1.579 3.136
ATOMIC_POSITIONS crystal
Ir 0.000 0.000 0.000
Zr 0.000 0.500 0.000
Mg 0.000 0.000 0.500
B 0.500 0.500 0.500
Mg 0.500 0.000 0.000
```

## Properties
- DFT total energy: -4.616 eV per atom
- DOS at the Fermi energy: 0.67 states/eV/atom

3.
Here is Mg2ZrB2Ir5 after structural relaxation from Alexandria via LeMat-Bulk. Energies are from GGA-PBE. Values from VASP.

Structure (Quantum ESPRESSO input):
```
&SYSTEM
  ibrav = 0, nat = 20, ntyp = 4
/
ATOMIC_SPECIES
Ir 192.22 Ir.upf
B 10.81 B.upf
Mg 24.30 Mg.upf
Zr 91.22 Zr.upf
CELL_PARAMETERS angstrom
3.012 0.000 0.000
0.000 9.743 0.000
0.000 0.000 9.743
ATOMIC_POSITIONS crystal
Ir 0.500 0.928 0.224
B 0.000 0.380 0.120
Ir 0.500 0.428 0.276
Ir 0.500 0.724 0.428
B 0.000 0.880 0.380
Mg 0.000 0.678 0.178
Ir 0.500 0.224 0.072
Ir 0.500 0.072 0.776
Ir 0.500 0.000 0.500
Zr 0.000 0.500 0.500
Ir 0.500 0.572 0.724
Ir 0.500 0.776 0.928
Zr 0.000 0.000 0.000
Ir 0.500 0.276 0.572
Ir 0.500 0.500 0.000
Mg 0.000 0.822 0.678
Mg 0.000 0.322 0.822
B 0.000 0.620 0.880
Mg 0.000 0.178 0.322
B 0.000 0.120 0.620
```

## Properties
- DFT total energy: -7.450 eV per atom
- DOS at the Fermi energy: 0.27 states/eV/atom

4.
Here is MnB2Ir4 after structural relaxation from Alexandria via LeMat-Bulk. Energies are from GGA-PBE. Values from VASP.

Structure (Quantum ESPRESSO input):
```
&SYSTEM
  ibrav = 0, nat = 14, ntyp = 3
/
ATOMIC_SPECIES
Ir 192.22 Ir.upf
B 10.81 B.upf
Mn 54.94 Mn.upf
CELL_PARAMETERS angstrom
-4.200 1.716 2.700
-2.087 2.278 -4.695
0.017 -6.985 -0.033
ATOMIC_POSITIONS crystal
Ir 0.869 0.633 0.266
Ir 0.537 0.688 0.852
B 0.556 0.869 0.210
Ir 0.537 0.164 0.852
Mn 0.431 0.737 0.475
Ir 0.239 0.526 0.051
Ir 0.906 0.141 0.282
Mn 0.173 0.013 0.026
Ir 0.952 0.596 0.662
B 0.231 0.319 0.638
Ir 0.952 0.066 0.662
B 0.556 0.341 0.210
Ir 0.481 0.222 0.444
B 0.828 0.436 0.872
```

## Properties
- DFT total energy: -8.314 eV per atom
- DOS at the Fermi energy: 0.82 states/eV/atom

| no. | calculated formation energy (eV per atom) |
| --- | --- |
| 1 | -0.445 |
| 2 | 0.839 |
| 3 | -0.510 |
| 4 | -0.033 |